Computed, not measured: an optimized crystal structure of BaOsRh2 at the GGA-PBE level of DFT.

CIF file:
```
data_BaOsRh2
_symmetry_space_group_name_H-M 'P 4 m m'
_symmetry_Int_Tables_number 99
_symmetry_space_group_name_Hall 'P 4 -2'
_cell_length_a 3.143
_cell_length_b 3.143
_cell_length_c 7.959
_cell_angle_alpha 90.00
_cell_angle_beta 90.00
_cell_angle_gamma 90.00
loop_
_atom_site_label
_atom_site_fract_x
_atom_site_fract_y
_atom_site_fract_z
Ba1 0.000 0.000 0.000
Os1 0.500 0.500 0.327
Rh1 0.000 0.000 0.494
Rh2 0.500 0.500 0.693
```

Results
M_tot, μB per formula unit: 0.00
Energy of formation from the pure elements, eV per formula unit: 2.3
Energy relative to the lowest polymorph listed for this composition, eV/atom: 0.4051
Electronic total energy, eV/atom: -6.38